Li7Co: optimized geometry, PBE-GGA.

Its density of states at the Fermi level is 5.67 states/eV/f.u. As for the total DFT energy (no corrections): -75.95 eV per cell. The crystal system is cubic. The value obtained for the energy of formation from the pure elements is 0.189 eV/atom.

It has space group Fm-3m (No. 225), with a = 8.041 Å, b = 8.041 Å, c = 8.041 Å, α = 90.00°, β = 90.00° and γ = 90.00°. The asymmetric unit holds Li at (0.000, 0.000, 0.000), Li at (0.000, 0.250, 0.250) and Co at (0.000, 0.000, 0.500).